A plane-wave DFT calculation with PBE-GGA was carried out for crystalline EuEr at its relaxed geometry.

abc: 4.109 4.109 4.109
angles: 90.00 90.00 90.00
Positions (direct):
Eu  0.000  0.000  0.000
Er  0.500  0.500  0.500

M_tot in μB/cell: 7.357
E_tot in eV/atom: -7.242
ΔE_f in eV per atom: 0.177
Space group: Pm-3m (221)

---

A plane-wave DFT calculation with PBE-GGA was carried out for crystalline Ho4GaSn at its relaxed geometry.

abc: 5.019 8.689 8.450
angles: 99.91 107.28 90.00
Positions (direct):
Ho  0.682  0.061  0.867
Ho  0.816  0.439  0.133
Ho  0.318  0.939  0.133
Ho  0.184  0.561  0.867
Ho  0.059  0.853  0.619
Ho  0.439  0.647  0.381
Ho  0.941  0.147  0.381
Ho  0.561  0.353  0.619
Ga  0.500  0.000  0.500
Ga  0.000  0.500  0.500
Sn  0.751  0.750  0.000
Sn  0.249  0.250  0.000

M_tot in μB/cell: 0.000
E_tot in eV/atom: -4.537
ΔE_f in eV per atom: -0.313
Space group: C2/c (15)

---

A plane-wave DFT calculation with PBE-GGA was carried out for crystalline Ti3OsCl at its relaxed geometry.

abc: 4.356 4.356 4.356
angles: 90.00 90.00 90.00
Positions (direct):
Cl  0.000  0.000  0.000
Os  0.500  0.500  0.500
Ti  0.000  0.500  0.000
Ti  0.000  0.000  0.500
Ti  0.500  0.000  0.000

M_tot in μB/cell: 0.000
Formation energy without anion corrections in eV/atom: 0.21
E_tot in eV/atom: -7.143
Space group: Pm-3m (221)

---

A plane-wave DFT calculation with PBE-GGA was carried out for crystalline Pm2EuBe at its relaxed geometry.

abc: 3.613 3.613 8.986
angles: 90.00 90.00 90.00
Positions (direct):
Eu  0.500  0.500  0.500
Be  0.500  0.500  0.000
Pm  0.000  0.000  0.819
Pm  0.000  0.000  0.181

M_tot in μB/cell: 7.888
E_tot in eV/atom: -5.750
ΔE_f in eV per atom: 0.126
Space group: P4/mmm (123)

---

A plane-wave DFT calculation with PBE-GGA was carried out for crystalline Y5Mg3 at its relaxed geometry.

abc: 3.743 3.743 16.462
angles: 90.00 90.00 90.00
Positions (direct):
Y  0.000  0.000  0.236
Y  0.500  0.500  0.617
Y  0.500  0.500  0.383
Y  0.000  0.000  0.764
Y  0.000  0.000  0.000
Mg  0.500  0.500  0.117
Mg  0.500  0.500  0.883
Mg  0.000  0.000  0.500

M_tot in μB/cell: 0.008
E_tot in eV/atom: -4.708
ΔE_f in eV per atom: -0.070
Space group: P4/mmm (123)

---

A plane-wave DFT calculation with PBE-GGA was carried out for crystalline NiP2S2 at its relaxed geometry.

abc: 4.439 4.439 4.441
angles: 90.00 90.00 90.00
Positions (direct):
Ni  0.500  0.500  0.500
S  0.000  0.500  0.000
S  0.500  0.000  0.000
P  0.000  0.000  0.000
P  0.000  0.000  0.500

M_tot in μB/cell: 1.291
Formation energy without anion corrections in eV/atom: 0.94
E_tot in eV/atom: -4.028
Space group: P4/mmm (123)

---

Repeat the sixth record exactly.
A plane-wave DFT calculation with PBE-GGA was carried out for crystalline NiP2S2 at its relaxed geometry.

abc: 4.439 4.439 4.441
angles: 90.00 90.00 90.00
Positions (direct):
Ni  0.500  0.500  0.500
S  0.000  0.500  0.000
S  0.500  0.000  0.000
P  0.000  0.000  0.000
P  0.000  0.000  0.500

M_tot in μB/cell: 1.291
Formation energy without anion corrections in eV/atom: 0.94
E_tot in eV/atom: -4.028
Space group: P4/mmm (123)

---

Q: Which of these has the lowest E_tot?
A: EuEr

---

Q: Which of these has the highest E_tot?
A: NiP2S2